Entry 1:
Computed, not measured: a relaxed BaMgSn2Hg2 crystal at the PBE level of DFT.

abc: 4.9430 4.9430 8.1799
angles: 90.00 90.00 120.00
With the nearest neighbours (Å) after each atom.
Space group P-3m1 (No. 164)
Unique sites:
1 Ba 0.0000 0.0000 0.0000  6 Sn 3.57, 6 Hg 3.97
2 Mg 0.0000 0.0000 0.5000  6 Hg 3.15, 6 Sn 3.45
3 Sn 0.3333 0.6667 0.2621  3 Hg 2.92
4 Hg 0.3333 0.6667 0.6628  3 Sn 2.92, 3 Mg 3.15

N(E_F), states/eV per cell: 2.687
Crystal system: trigonal

---

Entry 2:
Computed, not measured: a relaxed MgSc6Fe2 crystal at the PBE level of DFT.

abc: 8.6280 9.1086 9.4420
angles: 90.00 90.00 90.00
With the nearest neighbours (Å) after each atom.
Space group Immm (No. 71)
Unique sites:
1 Mg 0.0000 0.0000 0.0000  2 Fe 2.97, 8 Sc 2.98-3.01
2 Mg 0.0000 0.0000 0.5000  12 Sc 3.14-3.39
3 Sc 0.0000 0.2133 0.2393  1 Fe 2.48
4 Sc 0.1856 0.5000 0.1762  3 Fe 2.54-2.80
5 Sc 0.2131 0.3128 0.5000  3 Fe 2.73-2.78, 1 Mg 3.01
6 Fe 0.0000 0.3261 0.0000  2 Sc 2.48
7 Fe 0.0000 0.5000 0.3846  1 Fe 2.18

N(E_F), states/eV per cell: 49.016
Crystal system: orthorhombic

---

Entry 3:
Computed, not measured: a relaxed PrY3Pb2 crystal at the PBE level of DFT.

abc: 7.5507 14.7069 7.5351
angles: 90.00 90.00 90.00
With the nearest neighbours (Å) after each atom.
Space group Ibam (No. 72)
Unique sites:
1 Pr 0.0000 0.0000 0.0000  2 Pb 3.22
2 Y 0.0000 0.2109 0.2500  4 Pb 3.15-3.22
3 Y 0.0000 0.5000 0.2500  4 Pb 3.14
4 Pb 0.1792 0.3562 0.0000  6 Y 3.14-3.22, 1 Pr 3.22

N(E_F), states/eV per cell: 31.762
Crystal system: orthorhombic

---

Entry 4:
Computed, not measured: a relaxed Tb2HgAu crystal at the PBE level of DFT.

abc: 4.0156 4.0156 23.9030
angles: 90.00 90.00 120.00
With the nearest neighbours (Å) after each atom.
Space group R3m (No. 160, hexagonal axes)
Unique sites:
1 Tb 0.0000 0.0000 0.0000  3 Au 2.94, 3 Hg 3.17
2 Tb 0.0000 0.0000 0.1808  3 Au 2.96, 3 Hg 3.17
3 Hg 0.0000 0.0000 0.7571  6 Tb 3.17
4 Au 0.0000 0.0000 0.5913  6 Tb 2.94-2.96

N(E_F), states/eV per cell: 8.773
Crystal system: trigonal

---

One value per record, in order, for total DFT energy (no corrections): -2.34, -6.35, -5.46, -3.73 eV/atom.